RbZnBi2: relaxed, PBE.

```
data_RbZnBi2
_cell_length_a 4.003
_cell_length_b 4.003
_cell_length_c 8.185
_cell_angle_alpha 90.00
_cell_angle_beta 90.00
_cell_angle_gamma 90.00
_symmetry_space_group_name_H-M 'P 1'
_symmetry_Int_Tables_number 1
_symmetry_space_group_name_Hall 'P 1'
loop_
_atom_site_label
_atom_site_type_symbol
_atom_site_fract_x
_atom_site_fract_y
_atom_site_fract_z
_atom_site_occupancy
Rb1 Rb 0.000 0.000 0.000 1
Zn1 Zn 0.000 0.000 0.500 1
Bi1 Bi 0.500 0.500 0.319 1
Bi2 Bi 0.500 0.500 0.681 1
```

## Properties
Formation energy from the elements   0.004 eV per atom



RbZnBi3: relaxed, PBE.

```
data_RbZnBi3
_cell_length_a 6.242
_cell_length_b 6.242
_cell_length_c 6.242
_cell_angle_alpha 90.00
_cell_angle_beta 90.00
_cell_angle_gamma 90.00
_symmetry_space_group_name_H-M 'P 1'
_symmetry_Int_Tables_number 1
_symmetry_space_group_name_Hall 'P 1'
loop_
_atom_site_label
_atom_site_type_symbol
_atom_site_fract_x
_atom_site_fract_y
_atom_site_fract_z
_atom_site_occupancy
Rb1 Rb 0.000 0.000 0.000 1
Zn1 Zn 0.500 0.500 0.500 1
Bi1 Bi 0.000 0.000 0.500 1
Bi2 Bi 0.000 0.500 0.000 1
Bi3 Bi 0.500 0.000 0.000 1
```

## Properties
Formation energy from the elements   1.316 eV per atom
Excess energy over the best structure of this formula in the dataset   1393 meV per atom



RbZnBi3: relaxed, PBE.

```
data_RbZnBi3
_cell_length_a 7.044
_cell_length_b 7.002
_cell_length_c 6.889
_cell_angle_alpha 90.00
_cell_angle_beta 90.00
_cell_angle_gamma 90.00
_symmetry_space_group_name_H-M 'P 1'
_symmetry_Int_Tables_number 1
_symmetry_space_group_name_Hall 'P 1'
loop_
_atom_site_label
_atom_site_type_symbol
_atom_site_fract_x
_atom_site_fract_y
_atom_site_fract_z
_atom_site_occupancy
Rb1 Rb 0.000 0.233 0.000 1
Rb2 Rb 0.500 0.767 0.500 1
Zn1 Zn 0.000 0.609 0.667 1
Zn2 Zn 0.500 0.391 0.167 1
Bi1 Bi 0.000 0.902 0.380 1
Bi2 Bi 0.250 0.284 0.514 1
Bi3 Bi 0.250 0.716 0.014 1
Bi4 Bi 0.500 0.098 0.880 1
Bi5 Bi 0.750 0.284 0.514 1
Bi6 Bi 0.750 0.716 0.014 1
```

## Properties
Formation energy from the elements   -0.077 eV per atom
Excess energy over the best structure of this formula in the dataset   0 meV per atom



Size of the total moment for the records above, in order: 0.0; 0.0; 0.0 μB per formula unit